## InAg3 (GGA-PBEsol)

Data for a geometry-optimized InAg3 structure.

```
data_InAg3
_chemical_formula_sum 'In1 Ag3'
_space_group_name_H-M_alt 'P 1 2/m 1'
_space_group_IT_number 10
_space_group_name_Hall '-P 2y'
_cell_length_a 2.8898
_cell_length_b 4.7848
_cell_length_c 5.1785
_cell_angle_alpha 90.00
_cell_angle_beta 94.96
_cell_angle_gamma 90.00
loop_
_atom_site_label
_atom_site_fract_x
_atom_site_fract_y
_atom_site_fract_z
In1 0.0000 0.0000 0.0000
Ag1 0.2436 0.5000 0.7458
Ag2 0.5000 0.0000 0.5000
```

## Properties
Total moment = 0.000 μB per formula unit
Formation enthalpy at 0 K = -0.015 eV per formula unit



## CsMgAu3 (GGA-PBEsol)

Data for a geometry-optimized CsMgAu3 structure.

```
data_CsMgAu3
_chemical_formula_sum 'Cs1 Mg1 Au3'
_space_group_name_H-M_alt 'P m -3 m'
_space_group_IT_number 221
_space_group_name_Hall '-P 4 2 3'
_cell_length_a 5.7315
_cell_length_b 5.7315
_cell_length_c 5.7315
_cell_angle_alpha 90.00
_cell_angle_beta 90.00
_cell_angle_gamma 90.00
loop_
_atom_site_label
_atom_site_fract_x
_atom_site_fract_y
_atom_site_fract_z
Cs1 0.0000 0.0000 0.0000
Mg1 0.5000 0.5000 0.5000
Au1 0.0000 0.0000 0.5000
```

## Properties
Total moment = 0.000 μB per formula unit
Formation enthalpy at 0 K = 6.441 eV per formula unit



## SrBe2HgPt (GGA-PBEsol)

Data for a geometry-optimized SrBe2HgPt structure.

```
data_SrBe2HgPt
_chemical_formula_sum 'Sr1 Be2 Hg1 Pt1'
_space_group_name_H-M_alt 'P 4/m m m'
_space_group_IT_number 123
_space_group_name_Hall '-P 4 2'
_cell_length_a 5.7520
_cell_length_b 5.7520
_cell_length_c 5.2853
_cell_angle_alpha 90.00
_cell_angle_beta 90.00
_cell_angle_gamma 90.00
loop_
_atom_site_label
_atom_site_fract_x
_atom_site_fract_y
_atom_site_fract_z
Sr1 0.0000 0.0000 0.0000
Be1 0.0000 0.5000 0.0000
Hg1 0.5000 0.5000 0.5000
Pt1 0.0000 0.0000 0.5000
```

## Properties
Total moment = 0.000 μB per formula unit
Formation enthalpy at 0 K = 8.936 eV per formula unit



## Li3CuF5 (GGA-PBEsol)

Data for a geometry-optimized Li3CuF5 structure.

```
data_Li3CuF5
_chemical_formula_sum 'Li12 Cu4 F20'
_space_group_name_H-M_alt 'C 1 2/c 1'
_space_group_IT_number 15
_space_group_name_Hall '-C 2yc'
_cell_length_a 10.6178
_cell_length_b 5.8668
_cell_length_c 6.6640
_cell_angle_alpha 90.00
_cell_angle_beta 107.53
_cell_angle_gamma 90.00
loop_
_atom_site_label
_atom_site_fract_x
_atom_site_fract_y
_atom_site_fract_z
Li1 0.0000 0.0120 0.2500
Li2 0.2496 0.1971 0.8261
Cu1 0.0000 0.5000 0.0000
F1 0.0000 0.3308 0.2500
F2 0.1147 0.1552 0.9585
F3 0.1747 0.4100 0.6305
```

## Properties
Total moment = 1.020 μB per formula unit
Formation energy without anion corrections = -21.520 eV per formula unit



## RbP2Ir2 (GGA-PBEsol)

Data for a geometry-optimized RbP2Ir2 structure.

```
data_RbP2Ir2
_chemical_formula_sum 'Rb2 P4 Ir4'
_space_group_name_H-M_alt 'I 4/m m m'
_space_group_IT_number 139
_space_group_name_Hall '-I 4 2'
_cell_length_a 3.9197
_cell_length_b 3.9197
_cell_length_c 13.4376
_cell_angle_alpha 90.00
_cell_angle_beta 90.00
_cell_angle_gamma 90.00
loop_
_atom_site_label
_atom_site_fract_x
_atom_site_fract_y
_atom_site_fract_z
Rb1 0.0000 0.0000 0.0000
P1 0.0000 0.0000 0.3455
Ir1 0.0000 0.5000 0.2500
```

## Properties
Total moment = 0.000 μB per formula unit
Formation enthalpy at 0 K = -3.117 eV per formula unit



## MoAsN2 (GGA-PBEsol)

Data for a geometry-optimized MoAsN2 structure.

```
data_MoAsN2
_chemical_formula_sum 'Mo3 As3 N6'
_space_group_name_H-M_alt 'R -3 m'
_space_group_IT_number 166
_space_group_name_Hall '-R 3 2"'
_cell_length_a 2.8723
_cell_length_b 2.8723
_cell_length_c 18.7911
_cell_angle_alpha 90.00
_cell_angle_beta 90.00
_cell_angle_gamma 120.00
loop_
_atom_site_label
_atom_site_fract_x
_atom_site_fract_y
_atom_site_fract_z
Mo1 0.0000 0.0000 0.0000
As1 0.0000 0.0000 0.5000
N1 0.0000 0.0000 0.1088
```

## Properties
Total moment = 0.000 μB per formula unit
Formation energy without anion corrections = 1.594 eV per formula unit



## YTcRu2 (GGA-PBEsol)

Data for a geometry-optimized YTcRu2 structure.

```
data_YTcRu2
_chemical_formula_sum 'Y1 Tc1 Ru2'
_space_group_name_H-M_alt 'P 4 m m'
_space_group_IT_number 99
_space_group_name_Hall 'P 4 -2'
_cell_length_a 2.8256
_cell_length_b 2.8256
_cell_length_c 8.0608
_cell_angle_alpha 90.00
_cell_angle_beta 90.00
_cell_angle_gamma 90.00
loop_
_atom_site_label
_atom_site_fract_x
_atom_site_fract_y
_atom_site_fract_z
Y1 0.0000 0.0000 0.0000
Tc1 0.5000 0.5000 0.7102
Ru1 0.0000 0.0000 0.4960
Ru2 0.5000 0.5000 0.2844
```

## Properties
Total moment = 0.007 μB per formula unit
Formation enthalpy at 0 K = 1.148 eV per formula unit



## KScTa2 (GGA-PBEsol)

Data for a geometry-optimized KScTa2 structure.

```
data_KScTa2
_chemical_formula_sum 'K4 Sc4 Ta8'
_space_group_name_H-M_alt 'F m -3 m'
_space_group_IT_number 225
_space_group_name_Hall '-F 4 2 3'
_cell_length_a 7.0104
_cell_length_b 7.0104
_cell_length_c 7.0104
_cell_angle_alpha 90.00
_cell_angle_beta 90.00
_cell_angle_gamma 90.00
loop_
_atom_site_label
_atom_site_fract_x
_atom_site_fract_y
_atom_site_fract_z
K1 0.0000 0.0000 0.0000
Sc1 0.0000 0.0000 0.5000
Ta1 0.2500 0.2500 0.2500
```

## Properties
Total moment = 0.020 μB per formula unit
ΔE to the lowest computed polymorph = 0.629 eV per atom
Formation enthalpy at 0 K = 6.783 eV per formula unit



no.,total energy (Ha/atom)
1,-0.1188
2,-0.0587
3,-0.0620
4,-0.1690
5,-0.2600
6,-0.2971
7,-0.3426
8,-0.2394